No. 1
Here is a relaxed GaNiOs crystal from the Open Quantum Materials Database. Energies are from PBE-GGA.

abc: 5.7947 5.7947 5.7947
angles: 90.00 90.00 90.00
Space group F-43m (No. 216)
Asymmetric unit:
Ga 0.0000 0.0000 0.0000
Ni 0.0000 0.0000 0.5000
Os 0.2500 0.2500 0.2500

***

No. 2
Here is a relaxed LiPmAsO crystal from the Open Quantum Materials Database. Energies are from PBE-GGA.

Output
Relative energy among the computed polymorphs in eV/atom: 0.508

abc: 5.9020 5.9020 4.6965
angles: 90.00 90.00 90.00
Space group P4/nmm (No. 129, origin choice 2)
Asymmetric unit:
Li 0.2500 0.2500 0.0030
Pm 0.2500 0.7500 0.5000
As 0.2500 0.2500 0.5031
O 0.2500 0.7500 0.0000

***

No. 3
Here is a relaxed BaCuAsPd crystal from the Open Quantum Materials Database. Energies are from PBE-GGA.

Output
Relative energy among the computed polymorphs in eV/atom: 0.104

abc: 7.1532 7.1532 7.1532
angles: 90.00 90.00 90.00
Space group F-43m (No. 216)
Asymmetric unit:
Ba 0.0000 0.0000 0.0000
Cu 0.0000 0.0000 0.5000
As 0.2500 0.2500 0.2500
Pd 0.2500 0.2500 0.7500

***

No. 4
Here is a relaxed TaNb8 crystal from the Open Quantum Materials Database. Energies are from PBE-GGA.

abc: 9.9553 9.9553 3.3118
angles: 90.00 90.00 90.00
Space group I4/mmm (No. 139)
Asymmetric unit:
Ta 0.0000 0.0000 0.0000
Nb 0.0000 0.3327 0.0000
Nb 0.1669 0.1669 0.5000

***

No. 5
Here is a relaxed TbGePd2 crystal from the Open Quantum Materials Database. Energies are from PBE-GGA.

abc: 3.9137 6.4088 6.2964
angles: 90.00 90.00 90.00
Space group Pmc2_1 (No. 26)
Asymmetric unit:
Tb 0.0000 0.1658 0.0000
Ge 0.5000 0.3358 0.3540
Pd 0.0000 0.4264 0.6328
Pd 0.5000 0.0876 0.6815

***

No. 6
Here is a relaxed ZnInAg2 crystal from the Open Quantum Materials Database. Energies are from PBE-GGA.

abc: 6.6958 6.6958 6.6958
angles: 90.00 90.00 90.00
Space group F-43m (No. 216)
Asymmetric unit:
Zn 0.0000 0.0000 0.0000
In 0.2500 0.2500 0.7500
Ag 0.0000 0.0000 0.5000
Ag 0.2500 0.2500 0.2500

***

No. 7
Here is a relaxed ScZnGa2Pt4 crystal from the Open Quantum Materials Database. Energies are from PBE-GGA.

abc: 4.4506 4.4506 6.3339
angles: 90.00 90.00 90.00
Space group P4/mmm (No. 123)
Asymmetric unit:
Sc 0.0000 0.0000 0.0000
Zn 0.5000 0.5000 0.5000
Ga 0.0000 0.0000 0.5000
Ga 0.5000 0.5000 0.0000
Pt 0.0000 0.5000 0.2595

***

No. 8
Here is a relaxed RbLiNp crystal from the Open Quantum Materials Database. Energies are from PBE-GGA.

Output
Relative energy among the computed polymorphs in eV/atom: 0.000

abc: 8.0220 8.0220 8.0220
angles: 90.00 90.00 90.00
Space group F-43m (No. 216)
Asymmetric unit:
Rb 0.0000 0.0000 0.0000
Li 0.0000 0.0000 0.5000
Np 0.2500 0.2500 0.7500

***

no.,VASP energy (eV per atom)
1,-6.12
2,-5.37
3,-3.86
4,-10.29
5,-5.51
6,-2.38
7,-5.47
8,-3.60